No. 1
Computed, not measured: a relaxed ScAlBr crystal at the PBE level of DFT.

a = 7.7044 Å, b = 7.7044 Å, c = 7.7044 Å
α = 155.28°, β = 155.28°, γ = 35.24°
Closest atoms and distances in Å follow each position.
Element x y z (fractional)
Sc 0.0000 0.0000 0.0000  4 Br 2.89, 4 Al 2.93
Al 0.3791 0.3791 0.0000  4 Sc 2.93
Br 0.6159 0.6159 0.0000  4 Sc 2.89

- Space-group type: I4mm, No. 107


No. 2
Computed, not measured: a relaxed Sc2AlBr crystal at the PBE level of DFT.

a = 8.4582 Å, b = 8.4582 Å, c = 8.4582 Å
α = 23.89°, β = 23.89°, γ = 23.89°
Closest atoms and distances in Å follow each position.
Element x y z (fractional)
Sc 0.2465 0.2465 0.2465  3 Al 2.82, 3 Br 2.94
Sc 0.7535 0.7535 0.7535  3 Al 2.82, 3 Br 2.94
Al 0.5000 0.5000 0.5000  6 Sc 2.82
Br 0.0000 0.0000 0.0000  6 Sc 2.94

- Energy above the most stable polymorph in this dataset: 0.070 eV/atom
- Space-group type: R-3m, No. 166


No. 3
Computed, not measured: a relaxed Sc2AlBr crystal at the PBE level of DFT.

a = 7.3376 Å, b = 7.3376 Å, c = 7.3376 Å
α = 153.74°, β = 147.49°, γ = 42.26°
Closest atoms and distances in Å follow each position.
Element x y z (fractional)
Sc 0.0000 0.0000 0.0000  4 Al 2.84, 2 Br 2.92
Sc 0.7817 0.2817 0.5000  2 Al 2.83, 4 Br 3.02
Al 0.4235 0.4235 0.0000  6 Sc 2.83-2.84
Br 0.1747 0.6747 0.5000  6 Sc 2.92-3.02

- Energy above the most stable polymorph in this dataset: 0.195 eV/atom
- Space-group type: Imm2, No. 44


No. 4
Computed, not measured: a relaxed ScAl2Br crystal at the PBE level of DFT.

a = 5.9480 Å, b = 5.9480 Å, c = 5.9480 Å
α = 148.99°, β = 125.30°, γ = 64.22°
Closest atoms and distances in Å follow each position.
Element x y z (fractional)
Sc 0.0000 0.0000 0.0000  2 Br 2.68, 2 Al 2.97
Al 0.2493 0.7493 0.5000  4 Al 2.91-3.18, 2 Sc 2.97, 4 Br 3.18
Al 0.4914 0.4914 0.0000  4 Al 2.91-3.18, 4 Sc 3.16
Br 0.7856 0.2856 0.5000  2 Sc 2.68

- Energy above the most stable polymorph in this dataset: 0.153 eV/atom
- Space-group type: Imm2, No. 44


Number 1: uncorrected formation energy -0.477 eV per atom. Number 2: uncorrected formation energy -0.556 eV per atom. Number 3: uncorrected formation energy -0.430 eV per atom. Number 4: uncorrected formation energy -0.190 eV per atom.